Entry 1:
Material: FeAu5
Method: DFT, GGA-PBEsol
State: optimized geometry

Summary:
* formation energy: 0.11 eV per atom
* density of states at the Fermi level: 0.6738 states/eV per atom
* uncorrected energy: -4.653 eV/atom
* total magnetic moment: 3.1 μB/f.u.

Unit cell a=4.707 b=2.812 c=14.719 alpha=90.00 beta=90.00 gamma=90.00
Space group Amm2 (No. 38)
Asymmetric unit:
Fe: 0.000 0.000 0.000
Au: 0.000 0.000 0.340
Au: 0.000 0.000 0.660
Au: 0.500 0.000 0.225
Au: 0.500 0.000 0.556
Au: 0.500 0.000 0.894

***

Entry 2:
Material: FeGeAu2
Method: DFT, GGA-PBEsol
State: optimized geometry

Summary:
* formation energy: 0.24 eV per atom
* density of states at the Fermi level: 1.1332 states/eV per atom
* uncorrected energy: -5.196 eV/atom
* total magnetic moment: 3.1 μB/f.u.

Unit cell a=6.333 b=6.333 c=6.333 alpha=90.00 beta=90.00 gamma=90.00
Space group Fm-3m (No. 225)
Asymmetric unit:
Fe: 0.000 0.000 0.000
Ge: 0.000 0.000 0.500
Au: 0.250 0.250 0.250